[1]
8
Lattice="12.091 0.000 0.000 0.000 12.091 0.000 6.045 6.045 2.033" Properties=species:S:1:pos:R:3 comment="PBE K2NbN, optimized geometry" raw_formation_energy_ev_per_atom=0.38 total_magnetization_mub_per_atom=0.500 sg=I-42d dos_ef_per_ev_cell=1.727 pbc="T T T"
K 6.782 3.023 0.508
Nb 0.000 0.000 0.000
N 6.045 12.091 1.016
Nb 12.091 6.045 1.016
K 9.068 11.353 1.525
K 5.308 9.068 0.508
N 6.045 6.045 0.000
K 15.113 12.828 1.525

[2]
5
Lattice="-1.223 4.155 1.016 -4.253 -1.294 0.175 0.459 -0.923 4.328" Properties=species:S:1:pos:R:3 comment="PBE KNb3N, optimized geometry" raw_formation_energy_ev_per_atom=0.58 relative_energy_mev_per_atom=0 total_magnetization_mub_per_atom=0.000 sg=Pm-3m dos_ef_per_ev_cell=7.933 pbc="T T T"
Nb -2.126 -0.647 0.088
N 0.000 0.000 0.000
Nb -0.611 2.078 0.508
K -2.508 0.969 2.759
Nb 0.230 -0.461 2.164